Record 1
Here is an optimized crystal structure of MnTe2H from Alexandria. Energies are from PBE.

Output
As for the size of the total moment: 0.0 μB/f.u. The calculated total energy is -36.87 eV per cell. Its space group is No. 12.

abc: 7.4466 7.4466 6.0996
angles: 101.05 101.05 29.99
Closest atoms and distances in Å follow each position.
Fractional positions:
Mn1 0.2469 0.2469 0.3047  6 Te 2.49-2.69
Mn2 0.7531 0.7531 0.6953  6 Te 2.49-2.69
Te1 0.1697 0.1697 0.8645  1 H 1.72
Te2 0.3721 0.3721 0.6501  3 Mn 2.49-2.63
Te3 0.6279 0.6279 0.3499  3 Mn 2.49-2.63
Te4 0.8303 0.8303 0.1355  1 H 1.72
H1 0.0479 0.0479 0.8026  1 Te 1.72
H2 0.9521 0.9521 0.1974  1 Te 1.72

---

Record 2
Here is an optimized crystal structure of Mn2TeH2 from Alexandria. Energies are from PBE.

Output
As for the size of the total moment: 5.9 μB/f.u. The calculated total energy is -27.36 eV per cell. Its space group is No. 139.

abc: 5.2091 5.2091 5.2091
angles: 140.55 140.55 57.03
Closest atoms and distances in Å follow each position.
Fractional positions:
Mn1 0.1838 0.1838 0.0000  4 H 1.86
Mn2 0.8162 0.8162 0.0000  4 H 1.86
Te1 0.5000 0.5000 0.0000  8 H 2.89, 10 Mn 2.89-3.00
H1 0.2500 0.7500 0.5000  4 Mn 1.86
H2 0.7500 0.2500 0.5000  4 Mn 1.86